A relaxed structure of K2BiCl. Source: Alexandria, functional GGA-PBEsol.

Output
V = 567.9 Å³/cell
Density = 3.77 g cm⁻³
E_form (uncorrected) = -585 meV per atom

The structure in CIF format:
```
data_K2BiCl
_space_group_name_H-M_alt 'F m -3 m'
_space_group_IT_number 225
_space_group_name_Hall '-F 4 2 3'
_cell_length_a 8.281
_cell_length_b 8.281
_cell_length_c 8.281
_cell_angle_alpha 90.00
_cell_angle_beta 90.00
_cell_angle_gamma 90.00
loop_
_atom_site_label
_atom_site_type_symbol
_atom_site_fract_x
_atom_site_fract_y
_atom_site_fract_z
_atom_site_occupancy
K1 K 0.250 0.250 0.250 1
Bi1 Bi 0.000 0.000 0.000 1
Cl1 Cl 0.000 0.000 0.500 1
```